Entry a
A relaxed CrHgCl2 crystal. Source: the Alexandria database, functional GGA-PBE.

- Space-group type: No. 8

```
4
Lattice="-3.1043 0.5138 -6.0759 -2.6349 -2.8373 -5.6413 -6.3351 -0.9642 -0.5925" Properties=species:S:1:pos:R:3 pbc="T T T"
Hg -3.4716 -0.8198 -2.5717
Cr -4.8534 -1.3599 -5.2439
Cl -0.5824 -0.1087 -0.2091
Cl -9.2038 -2.6431 -10.4392
```

---

Entry b
A relaxed CrHgCl2 crystal. Source: the Alexandria database, functional GGA-PBE.

- Space-group type: No. 65

```
4
Lattice="3.9730 -0.0317 0.0000 -2.4629 3.1177 0.0000 0.0000 0.0000 10.5743" Properties=species:S:1:pos:R:3 pbc="T T T"
Cl 0.0000 0.0000 1.0342
Cr 0.7551 1.5430 2.6436
Cl 0.0000 0.0000 4.2530
Hg 0.7551 1.5430 7.9307
```

---

Most stable structure - entry a; separation to the second - 0.034 eV/atom.